{
  "formula": "BaSm2In2Ag2",
  "functional": "PBE",
  "state": "relaxed",
  "lattice": [[2.5052, 1.4464, 9.7816], [-2.5052, 1.4464, 9.7816], [0.0000, -2.8928, 9.7816]],
  "species": ["Ba", "Sm", "Sm", "In", "In", "Ag", "Ag"],
  "frac_coords": [[0.0000, 0.0000, 0.0000], [0.1299, 0.1299, 0.1299], [0.8701, 0.8701, 0.8701], [0.2486, 0.2486, 0.2486], [0.7514, 0.7514, 0.7514], [0.4200, 0.4200, 0.4200], [0.5800, 0.5800, 0.5800]],
  "dft_energy_ev_per_atom": -3.533,
  "n_ef_per_ev_atom": 0.768,
  "formation_enthalpy_0k_ev_per_atom": -0.3127,
  "density_g_cm3": 6.898
}